No. 1
Below is a geometry-optimized YCoSi2 structure, with properties calculated at the GGA-PBEsol level.

Computed properties:
E_form (uncorrected) ... -3.5 eV/f.u.
Volume ... 126 Å³/cell
Magnetization ... 0.0 μB/f.u.
Symmetry ... Cmcm, No. 63

The structure in CIF format:
```
data_YCoSi2
_space_group_name_H-M_alt 'P 1'
_space_group_IT_number 1
_cell_length_a 8.2914
_cell_length_b 8.2914
_cell_length_c 3.9380
_cell_angle_alpha 90.00
_cell_angle_beta 90.00
_cell_angle_gamma 152.19
loop_
_space_group_symop_operation_xyz
'x,y,z'
loop_
_atom_site_label
_atom_site_fract_x
_atom_site_fract_y
_atom_site_fract_z
Y1 0.1079 0.8921 0.7500
Y2 0.8921 0.1079 0.2500
Co1 0.3207 0.6793 0.7500
Co2 0.6793 0.3207 0.2500
Si1 0.2497 0.7503 0.2500
Si2 0.4569 0.5431 0.7500
Si3 0.5431 0.4569 0.2500
Si4 0.7503 0.2497 0.7500
```


No. 2
Below is a geometry-optimized Y2CoSi2 structure, with properties calculated at the GGA-PBEsol level.

Computed properties:
E_form (uncorrected) ... -0.9 eV/f.u.
Volume ... 97 Å³/cell
Magnetization ... 0.3 μB/f.u.
Symmetry ... I4/mmm, No. 139

The structure in CIF format:
```
data_Y2CoSi2
_space_group_name_H-M_alt 'P 1'
_space_group_IT_number 1
_cell_length_a 8.6181
_cell_length_b 8.6181
_cell_length_c 8.6181
_cell_angle_alpha 157.08
_cell_angle_beta 157.08
_cell_angle_gamma 32.64
loop_
_space_group_symop_operation_xyz
'x,y,z'
loop_
_atom_site_label
_atom_site_fract_x
_atom_site_fract_y
_atom_site_fract_z
Y1 0.0983 0.0983 0.0000
Y2 0.9017 0.9017 0.0000
Co1 0.5000 0.5000 0.0000
Si1 0.2500 0.7500 0.5000
Si2 0.7500 0.2500 0.5000
```


No. 3
Below is a geometry-optimized Y2CoSi2 structure, with properties calculated at the GGA-PBEsol level.

Computed properties:
E_form (uncorrected) ... -0.5 eV/f.u.
Volume ... 103 Å³/cell
Magnetization ... 0.6 μB/f.u.
Symmetry ... I4/mmm, No. 139

The structure in CIF format:
```
data_Y2CoSi2
_space_group_name_H-M_alt 'P 1'
_space_group_IT_number 1
_cell_length_a 5.1417
_cell_length_b 5.1417
_cell_length_c 5.1417
_cell_angle_alpha 113.65
_cell_angle_beta 113.65
_cell_angle_gamma 101.40
loop_
_space_group_symop_operation_xyz
'x,y,z'
loop_
_atom_site_label
_atom_site_fract_x
_atom_site_fract_y
_atom_site_fract_z
Y1 0.2500 0.7500 0.5000
Y2 0.7500 0.2500 0.5000
Co1 0.0000 0.0000 0.0000
Si1 0.3290 0.3290 0.0000
Si2 0.6710 0.6710 0.0000
```